Record 1
Sm7Er12Sc | GGA-PBE | optimized geometry

a = 8.6912 Å, b = 8.6912 Å, c = 8.6912 Å
α = 85.80°, β = 85.80°, γ = 85.80°
Positions (direct):
Sm (0.0000, 0.0000, 0.0000)
Sm (0.1011, 0.3473, 0.4204)
Sm (0.3473, 0.4204, 0.1011)
Sm (0.4204, 0.1011, 0.3473)
Sm (0.5796, 0.8989, 0.6527)
Sm (0.6527, 0.5796, 0.8989)
Sm (0.8989, 0.6527, 0.5796)
Er (0.0011, 0.3638, 0.8848)
Er (0.1152, 0.9989, 0.6362)
Er (0.2340, 0.7471, 0.3549)
Er (0.2529, 0.6451, 0.7660)
Er (0.3549, 0.2340, 0.7471)
Er (0.3638, 0.8848, 0.0011)
Er (0.6362, 0.1152, 0.9989)
Er (0.6451, 0.7660, 0.2529)
Er (0.7471, 0.3549, 0.2340)
Er (0.7660, 0.2529, 0.6451)
Er (0.8848, 0.0011, 0.3638)
Er (0.9989, 0.6362, 0.1152)
Sc (0.5000, 0.5000, 0.5000)

Energy relative to the elements: 0.240 eV per atom

=====

Record 2
Pr4Ho3Er2 | GGA-PBE | optimized geometry

a = 3.6161 Å, b = 3.6161 Å, c = 26.7869 Å
α = 90.00°, β = 90.00°, γ = 120.00°
Positions (direct):
Pr (0.0000, 0.0000, 0.0000)
Pr (0.0000, 0.0000, 0.2170)
Pr (0.3333, 0.6667, 0.3352)
Pr (0.3333, 0.6667, 0.5543)
Ho (0.0000, 0.0000, 0.4439)
Ho (0.3333, 0.6667, 0.1071)
Ho (0.3333, 0.6667, 0.7673)
Er (0.0000, 0.0000, 0.6637)
Er (0.0000, 0.0000, 0.8694)

Energy relative to the elements: 0.061 eV per atom

=====

Record 3
Tm3ScSb2C | GGA-PBE | optimized geometry

a = 8.4334 Å, b = 8.4334 Å, c = 8.4334 Å
α = 149.04°, β = 147.73°, γ = 45.33°
Positions (direct):
Tm (0.0000, 0.0000, 0.0000)
Tm (0.3427, 0.8427, 0.5000)
Tm (0.6573, 0.1573, 0.5000)
Sc (0.5000, 0.5000, 0.0000)
Sb (0.1425, 0.6425, 0.5000)
Sb (0.8575, 0.3575, 0.5000)
C (0.5000, 0.0000, 0.5000)

Formation energy without anion corrections: -825.6 meV/atom

=====

Record 4
LiHo2UP4 | GGA-PBE | optimized geometry

a = 6.7067 Å, b = 3.9660 Å, c = 6.8254 Å
α = 90.00°, β = 108.50°, γ = 90.00°
Positions (direct):
Li (0.0000, 0.0000, 0.0000)
Ho (0.0000, 0.5000, 0.5000)
Ho (0.5000, 0.0000, 0.5000)
U (0.5000, 0.5000, 0.0000)
P (0.2540, 0.0000, 0.7585)
P (0.2607, 0.5000, 0.2410)
P (0.7393, 0.5000, 0.7590)
P (0.7460, 0.0000, 0.2415)

Energy relative to the elements: -1.078 eV per atom

=====

Record 5
La2Nd5Tl4 | GGA-PBE | optimized geometry

a = 11.9924 Å, b = 11.9924 Å, c = 8.5904 Å
α = 104.29°, β = 104.29°, γ = 17.71°
Positions (direct):
La (0.2336, 0.2336, 0.3103)
La (0.7664, 0.7664, 0.6897)
Nd (0.0000, 0.0000, 0.5000)
Nd (0.3281, 0.3281, 0.0626)
Nd (0.3763, 0.3763, 0.5293)
Nd (0.6237, 0.6237, 0.4707)
Nd (0.6719, 0.6719, 0.9374)
Tl (0.0894, 0.0894, 0.1343)
Tl (0.4754, 0.4754, 0.1736)
Tl (0.5246, 0.5246, 0.8264)
Tl (0.9106, 0.9106, 0.8657)

Energy relative to the elements: -0.032 eV per atom

=====

Record 6
CaTlCl2 | GGA-PBE | optimized geometry

a = 4.9324 Å, b = 4.9324 Å, c = 4.3004 Å
α = 90.00°, β = 90.00°, γ = 90.00°
Positions (direct):
Ca (0.0000, 0.0000, 0.0000)
Tl (0.5000, 0.5000, 0.0000)
Cl (0.0000, 0.5000, 0.5000)
Cl (0.5000, 0.0000, 0.5000)

Formation energy without anion corrections: -1155.2 meV/atom

=====

Record 7
Ag2SnSbS4 | GGA-PBE | optimized geometry

a = 9.2567 Å, b = 6.5962 Å, c = 6.8762 Å
α = 90.00°, β = 90.00°, γ = 90.00°
Positions (direct):
Ag (0.2478, 0.1949, 0.0000)
Ag (0.2522, 0.8051, 0.5000)
Ag (0.7478, 0.8051, 0.5000)
Ag (0.7522, 0.1949, 0.0000)
Sn (0.0000, 0.3200, 0.4982)
Sn (0.5000, 0.6800, 0.9982)
Sb (0.0000, 0.7214, 0.0097)
Sb (0.5000, 0.2786, 0.5097)
S (0.0000, 0.3552, 0.1104)
S (0.0000, 0.6790, 0.6231)
S (0.2387, 0.1786, 0.6281)
S (0.2613, 0.8214, 0.1281)
S (0.5000, 0.3210, 0.1231)
S (0.5000, 0.6448, 0.6104)
S (0.7387, 0.8214, 0.1281)
S (0.7613, 0.1786, 0.6281)

Formation energy without anion corrections: -145.8 meV/atom

=====

Record 8
Rb2Sr2Sn | GGA-PBE | optimized geometry

a = 11.8606 Å, b = 11.8606 Å, c = 11.8606 Å
α = 156.59°, β = 156.59°, γ = 33.35°
Positions (direct):
Rb (0.2500, 0.7500, 0.5000)
Rb (0.7500, 0.2500, 0.5000)
Sr (0.0768, 0.0768, 0.0000)
Sr (0.9232, 0.9232, 0.0000)
Sn (0.5000, 0.5000, 0.0000)

Energy relative to the elements: 0.230 eV per atom

=====

Please write out number 6 again, unchanged.
CaTlCl2 | GGA-PBE | optimized geometry

a = 4.9324 Å, b = 4.9324 Å, c = 4.3004 Å
α = 90.00°, β = 90.00°, γ = 90.00°
Positions (direct):
Ca (0.0000, 0.0000, 0.0000)
Tl (0.5000, 0.5000, 0.0000)
Cl (0.0000, 0.5000, 0.5000)
Cl (0.5000, 0.0000, 0.5000)

Formation energy without anion corrections: -1155.2 meV/atom

=====

Q: Number 4 is which compound?
A: LiHo2UP4